{"formula": "Pa3SbH3", "functional": "PBE", "state": "optimized geometry", "lattice_angstrom": [[6.1311, 0.0000, 0.0000], [0.0000, 6.1311, 0.0000], [0.0000, 0.0000, 6.1311]], "species": ["Pa", "Pa", "Pa", "Pa", "Pa", "Pa", "Sb", "Sb", "H", "H", "H", "H", "H", "H"], "frac_coords": [[0.0000, 0.2500, 0.5000], [0.0000, 0.7500, 0.5000], [0.2500, 0.5000, 0.0000], [0.5000, 0.0000, 0.2500], [0.5000, 0.0000, 0.7500], [0.7500, 0.5000, 0.0000], [0.0000, 0.0000, 0.0000], [0.5000, 0.5000, 0.5000], [0.0000, 0.5000, 0.2500], [0.0000, 0.5000, 0.7500], [0.2500, 0.0000, 0.5000], [0.5000, 0.2500, 0.0000], [0.5000, 0.7500, 0.0000], [0.7500, 0.0000, 0.5000]], "energy_ev_per_atom": -6.378}